No. 1
# AlAgGe

A geometry-optimized AlAgGe structure (PBE-GGA, Alexandria via LeMat-Bulk).

Cell: 2.9660 8.1793 4.8784 Å, 89.89 90.09 110.87°
With the nearest neighbours (Å) after each atom.
Element x y z (fractional)
Ag 0.7037 0.5294 0.2276  1 Al 2.75, 4 Ge 2.81-2.92, 4 Ag 2.96-2.97
Ag 0.8695 0.1935 0.2280  4 Al 2.76-2.81, 4 Ag 2.96-2.97, 4 Ge 3.01-3.02
Ge 0.8940 0.7121 0.7274  4 Al 2.72-2.79, 2 Ag 2.81, 3 Ge 2.97-2.99
Al 0.6899 0.0116 0.7280  4 Ge 2.72-2.79, 2 Ag 2.81, 6 Al 2.97-3.01
Al 0.0705 0.8890 0.2275  3 Ag 2.75-2.76, 2 Ge 2.79, 6 Al 2.97-3.01
Ge 0.4937 0.3205 0.7276  2 Al 2.79, 6 Ag 2.91-3.02, 3 Ge 2.97-2.99

Output
- DOS(E_F): 0.375 states/eV per atom
- Crystal system: triclinic
- Total DFT energy (no corrections): -0.131 hartree per atom
- Energy of formation from the pure elements: 0.16 eV per atom
- Magnetic moment: 0.00 μB per formula unit

***

No. 2
# V2MoS6

A geometry-optimized V2MoS6 structure (PBE-GGA, Alexandria via LeMat-Bulk).

Cell: 3.1803 7.5004 8.1596 Å, 114.65 101.24 90.00°
With the nearest neighbours (Å) after each atom.
Element x y z (fractional)
S 0.6659 0.0914 0.3318  2 V 2.33, 1 Mo 2.44
S 0.9981 0.7522 0.9962  1 V 2.28, 2 Mo 2.44
S 0.3239 0.4437 0.6478  3 V 2.37-2.47
S 0.3341 0.9086 0.6682  2 V 2.33, 1 Mo 2.44
S 0.0019 0.2478 0.0038  1 V 2.28, 2 Mo 2.44
Mo 0.5000 0.0000 0.0000  6 S 2.44
S 0.6761 0.5563 0.3522  3 V 2.37-2.47
V 0.1536 0.3056 0.3072  6 S 2.28-2.47
V 0.8464 0.6944 0.6928  6 S 2.28-2.47

Output
- Formation energy without anion corrections: -0.79 eV per atom
- DOS(E_F): 0.451 states/eV per atom
- Crystal system: monoclinic
- Total DFT energy (no corrections): -0.249 hartree per atom
- Magnetic moment: 0.00 μB per formula unit

***

No. 3
# Ac2PrMgTe5

A geometry-optimized Ac2PrMgTe5 structure (PBE-GGA, Alexandria via LeMat-Bulk).

Cell: 4.5620 10.0855 13.8296 Å, 90.00 90.00 103.07°
With the nearest neighbours (Å) after each atom.
Element x y z (fractional)
Pr 0.2014 0.4028 0.0124  6 Te 3.17-3.23
Ac 0.1141 0.2282 0.6861  8 Te 3.42-3.54
Ac 0.8682 0.7365 0.8100  7 Te 3.35-3.63
Te 0.4953 0.9906 0.7733  1 Mg 2.73
Ac 0.8859 0.7718 0.1861  8 Te 3.42-3.54
Ac 0.1318 0.2635 0.3100  7 Te 3.35-3.63
Te 0.3633 0.7266 0.0014  1 Pr 3.19, 4 Ac 3.45-3.49
Te 0.7123 0.4245 0.1739  2 Pr 3.20, 3 Ac 3.35-3.42
Te 0.6367 0.2734 0.5014  1 Pr 3.19, 4 Ac 3.45-3.49
Mg 0.4469 0.8938 0.4528  4 Te 2.73-2.97
Te 0.6856 0.3711 0.8490  1 Mg 2.97, 2 Pr 3.23
Te 0.3144 0.6289 0.3490  1 Mg 2.97, 2 Pr 3.23
Pr 0.7986 0.5972 0.5124  6 Te 3.17-3.23
Mg 0.5531 0.1062 0.9528  4 Te 2.73-2.97
Te 0.9555 0.9111 0.5651  2 Mg 2.76
Te 0.0445 0.0889 0.0651  2 Mg 2.76
Te 0.5047 0.0094 0.2733  1 Mg 2.73
Te 0.2877 0.5755 0.6739  2 Pr 3.20, 3 Ac 3.35-3.42

Output
- Formation energy without anion corrections: -1.38 eV per atom
- DOS(E_F): 0.235 states/eV per atom
- Crystal system: orthorhombic
- Total DFT energy (no corrections): -0.174 hartree per atom
- Magnetic moment: 0.00 μB per formula unit